The following is a PBE calculation of crystalline TmTh at its relaxed geometry, from OQMD via LeMat-Bulk.

Cell lengths 3.5129, 3.5129, 5.8462 Å; angles 90.00, 90.00, 120.00 degrees
Positions (direct):
Tm1 0.0000 0.0000 0.0000
Th1 0.3333 0.6667 0.5000

M_tot   0.01 μB per formula unit
Raw total energy   -11.76 eV per cell
Crystal system   hexagonal



The following is a PBE calculation of crystalline TmTh at its relaxed geometry, from OQMD via LeMat-Bulk.

Cell lengths 4.9156, 4.9156, 4.9156 Å; angles 60.00, 60.00, 60.00 degrees
Positions (direct):
Tm1 0.0000 0.0000 0.0000
Th1 0.2500 0.2500 0.2500

M_tot   0.01 μB per formula unit
Raw total energy   -7.72 eV per cell
Crystal system   cubic



The following is a PBE calculation of crystalline TmTh at its relaxed geometry, from OQMD via LeMat-Bulk.

Cell lengths 4.6184, 4.6184, 4.6184 Å; angles 60.00, 60.00, 60.00 degrees
Positions (direct):
Tm1 0.0000 0.0000 0.0000
Th1 0.5000 0.5000 0.5000

M_tot   0.02 μB per formula unit
Raw total energy   -9.97 eV per cell
Crystal system   cubic



The following is a PBE calculation of crystalline TmThZr at its relaxed geometry, from OQMD via LeMat-Bulk.

Cell lengths 5.1689, 5.1689, 5.1689 Å; angles 60.00, 60.00, 60.00 degrees
Positions (direct):
Tm1 0.0000 0.0000 0.0000
Th1 0.7500 0.7500 0.7500
Zr1 0.2500 0.2500 0.2500

M_tot   0.87 μB per formula unit
Raw total energy   -17.63 eV per cell
Crystal system   cubic



The following is a PBE calculation of crystalline ThU at its relaxed geometry, from OQMD via LeMat-Bulk.

Cell lengths 4.1572, 4.1572, 4.1572 Å; angles 60.00, 60.00, 60.00 degrees
Positions (direct):
Th1 0.0000 0.0000 0.0000
U1 0.5000 0.5000 0.5000

M_tot   0.00 μB per formula unit
Raw total energy   -16.56 eV per cell
Crystal system   cubic



The following is a PBE calculation of crystalline ThU at its relaxed geometry, from OQMD via LeMat-Bulk.

Cell lengths 3.2672, 3.2672, 5.7468 Å; angles 90.00, 90.00, 120.00 degrees
Positions (direct):
Th1 0.0000 0.0000 0.0000
U1 0.6667 0.3333 0.5000

M_tot   1.71 μB per formula unit
Raw total energy   -17.83 eV per cell
Crystal system   hexagonal



The following is a PBE calculation of crystalline ThU at its relaxed geometry, from OQMD via LeMat-Bulk.

Cell lengths 4.4882, 4.4882, 4.4882 Å; angles 60.00, 60.00, 60.00 degrees
Positions (direct):
Th1 0.0000 0.0000 0.0000
U1 0.7500 0.7500 0.7500

M_tot   3.13 μB per formula unit
Raw total energy   -14.48 eV per cell
Crystal system   cubic



The following is a PBE calculation of crystalline ThUW at its relaxed geometry, from OQMD via LeMat-Bulk.

Cell lengths 4.8314, 4.8314, 4.8314 Å; angles 60.00, 60.00, 60.00 degrees
Positions (direct):
Th1 0.0000 0.0000 0.0000
U1 0.5000 0.5000 0.5000
W1 0.7500 0.7500 0.7500

M_tot   2.40 μB per formula unit
Raw total energy   -29.16 eV per cell
Crystal system   cubic



The following is a PBE calculation of crystalline YThU at its relaxed geometry, from OQMD via LeMat-Bulk.

Cell lengths 5.2219, 5.2219, 5.2219 Å; angles 60.00, 60.00, 60.00 degrees
Positions (direct):
Y1 0.0000 0.0000 0.0000
Th1 0.5000 0.5000 0.5000
U1 0.7500 0.7500 0.7500

M_tot   5.10 μB per formula unit
Raw total energy   -21.64 eV per cell
Crystal system   cubic



The following is a PBE calculation of crystalline ThZrU at its relaxed geometry, from OQMD via LeMat-Bulk.

Cell lengths 5.0115, 5.0115, 5.0115 Å; angles 60.00, 60.00, 60.00 degrees
Positions (direct):
Th1 0.0000 0.0000 0.0000
Zr1 0.5000 0.5000 0.5000
U1 0.2500 0.2500 0.2500

M_tot   3.43 μB per formula unit
Raw total energy   -23.95 eV per cell
Crystal system   cubic



The following is a PBE calculation of crystalline ThW at its relaxed geometry, from OQMD via LeMat-Bulk.

Cell lengths 4.1731, 4.1731, 4.1731 Å; angles 60.00, 60.00, 60.00 degrees
Positions (direct):
Th1 0.0000 0.0000 0.0000
W1 0.5000 0.5000 0.5000

M_tot   0.00 μB per formula unit
Raw total energy   -17.68 eV per cell
Crystal system   cubic



The following is a PBE calculation of crystalline Th2W at its relaxed geometry, from OQMD via LeMat-Bulk.

Cell lengths 8.5782, 8.5782, 8.5782 Å; angles 60.00, 60.00, 60.00 degrees
Positions (direct):
Th1 0.0000 0.0000 0.0000
Th2 0.0000 0.0000 0.5000
Th3 0.0000 0.5000 0.0000
Th4 0.5000 0.0000 0.0000
W1 0.1250 0.1250 0.1250
W2 0.8750 0.8750 0.8750

M_tot   0.61 μB per formula unit
Raw total energy   -44.13 eV per cell
Crystal system   cubic



The following is a PBE calculation of crystalline ThW at its relaxed geometry, from OQMD via LeMat-Bulk.

Cell lengths 3.1842, 3.1842, 5.1727 Å; angles 90.00, 90.00, 120.00 degrees
Positions (direct):
Th1 0.0000 0.0000 0.0000
W1 0.6667 0.3333 0.5000

M_tot   0.01 μB per formula unit
Raw total energy   -18.43 eV per cell
Crystal system   hexagonal



The following is a PBE calculation of crystalline ThW at its relaxed geometry, from OQMD via LeMat-Bulk.

Cell lengths 4.4745, 4.4745, 4.4745 Å; angles 60.00, 60.00, 60.00 degrees
Positions (direct):
Th1 0.0000 0.0000 0.0000
W1 0.7500 0.7500 0.7500

M_tot   0.01 μB per formula unit
Raw total energy   -15.86 eV per cell
Crystal system   cubic



The following is a PBE calculation of crystalline YThW at its relaxed geometry, from OQMD via LeMat-Bulk.

Cell lengths 4.9221, 4.9221, 4.9221 Å; angles 60.00, 60.00, 60.00 degrees
Positions (direct):
Y1 0.0000 0.0000 0.0000
Th1 0.5000 0.5000 0.5000
W1 0.7500 0.7500 0.7500

M_tot   0.01 μB per formula unit
Raw total energy   -25.12 eV per cell
Crystal system   cubic



The following is a PBE calculation of crystalline ThZnW at its relaxed geometry, from OQMD via LeMat-Bulk.

Cell lengths 4.6045, 4.6045, 4.6045 Å; angles 60.00, 60.00, 60.00 degrees
Positions (direct):
Th1 0.0000 0.0000 0.0000
Zn1 0.2500 0.2500 0.2500
W1 0.5000 0.5000 0.5000

M_tot   0.80 μB per formula unit
Raw total energy   -19.38 eV per cell
Crystal system   cubic



The following is a PBE calculation of crystalline YTh at its relaxed geometry, from OQMD via LeMat-Bulk.

Cell lengths 3.5516, 3.5516, 5.9080 Å; angles 90.00, 90.00, 120.00 degrees
Positions (direct):
Y1 0.0000 0.0000 0.0000
Th1 0.3333 0.6667 0.5000

M_tot   0.03 μB per formula unit
Raw total energy   -13.75 eV per cell
Crystal system   hexagonal



The following is a PBE calculation of crystalline Y2Th at its relaxed geometry, from OQMD via LeMat-Bulk.

Cell lengths 9.3553, 9.3553, 9.3553 Å; angles 60.00, 60.00, 60.00 degrees
Positions (direct):
Y1 0.0000 0.0000 0.0000
Y2 0.0000 0.0000 0.5000
Y3 0.0000 0.5000 0.0000
Y4 0.5000 0.0000 0.0000
Th1 0.1250 0.1250 0.1250
Th2 0.8750 0.8750 0.8750

M_tot   0.01 μB per formula unit
Raw total energy   -25.48 eV per cell
Crystal system   cubic



The following is a PBE calculation of crystalline Y2Th at its relaxed geometry, from OQMD via LeMat-Bulk.

Cell lengths 8.8134, 8.8134, 8.8134 Å; angles 23.60, 23.60, 23.60 degrees
Positions (direct):
Y1 0.2241 0.2241 0.2241
Y2 0.7759 0.7759 0.7759
Th1 0.0000 0.0000 0.0000

M_tot   0.00 μB per formula unit
Raw total energy   -20.39 eV per cell
Crystal system   trigonal



The following is a PBE calculation of crystalline YTh at its relaxed geometry, from OQMD via LeMat-Bulk.

Cell lengths 4.6329, 4.6329, 4.6329 Å; angles 60.00, 60.00, 60.00 degrees
Positions (direct):
Y1 0.0000 0.0000 0.0000
Th1 0.5000 0.5000 0.5000

M_tot   0.20 μB per formula unit
Raw total energy   -11.92 eV per cell
Crystal system   cubic



The following is a PBE calculation of crystalline YTh at its relaxed geometry, from OQMD via LeMat-Bulk.

Cell lengths 4.8919, 4.8919, 4.8919 Å; angles 60.00, 60.00, 60.00 degrees
Positions (direct):
Y1 0.0000 0.0000 0.0000
Th1 0.2500 0.2500 0.2500

M_tot   0.00 μB per formula unit
Raw total energy   -9.69 eV per cell
Crystal system   cubic



The following is a PBE calculation of crystalline YTh2 at its relaxed geometry, from OQMD via LeMat-Bulk.

Cell lengths 8.7910, 8.7910, 8.7910 Å; angles 60.00, 60.00, 60.00 degrees
Positions (direct):
Y1 0.1250 0.1250 0.1250
Y2 0.8750 0.8750 0.8750
Th1 0.0000 0.0000 0.0000
Th2 0.0000 0.0000 0.5000
Th3 0.0000 0.5000 0.0000
Th4 0.5000 0.0000 0.0000

M_tot   0.00 μB per formula unit
Raw total energy   -25.76 eV per cell
Crystal system   cubic



The following is a PBE calculation of crystalline YThZn at its relaxed geometry, from OQMD via LeMat-Bulk.

Cell lengths 4.9793, 4.9793, 4.9793 Å; angles 60.00, 60.00, 60.00 degrees
Positions (direct):
Y1 0.0000 0.0000 0.0000
Th1 0.5000 0.5000 0.5000
Zn1 0.7500 0.7500 0.7500

M_tot   0.66 μB per formula unit
Raw total energy   -14.76 eV per cell
Crystal system   cubic



The following is a PBE calculation of crystalline YThZr at its relaxed geometry, from OQMD via LeMat-Bulk.

Cell lengths 5.2045, 5.2045, 5.2045 Å; angles 60.00, 60.00, 60.00 degrees
Positions (direct):
Y1 0.0000 0.0000 0.0000
Th1 0.7500 0.7500 0.7500
Zr1 0.2500 0.2500 0.2500

M_tot   2.64 μB per formula unit
Raw total energy   -19.42 eV per cell
Crystal system   cubic



The following is a PBE calculation of crystalline Th3Zn4 at its relaxed geometry, from OQMD via LeMat-Bulk.

Cell lengths 9.5438, 9.5438, 4.0880 Å; angles 90.00, 90.00, 120.03 degrees
Positions (direct):
Th1 0.1560 0.3128 0.7500
Th2 0.1577 0.8423 0.7500
Th3 0.3128 0.1560 0.2500
Th4 0.6872 0.8440 0.7500
Th5 0.8423 0.1577 0.2500
Th6 0.8440 0.6872 0.2500
Zn1 0.1082 0.5537 0.2500
Zn2 0.3341 0.6659 0.7500
Zn3 0.4464 0.5536 0.2500
Zn4 0.4463 0.8918 0.2500
Zn5 0.5537 0.1082 0.7500
Zn6 0.5536 0.4464 0.7500
Zn7 0.6659 0.3341 0.2500
Zn8 0.8918 0.4463 0.7500

M_tot   0.01 μB per formula unit
Raw total energy   -54.38 eV per cell
Crystal system   orthorhombic



The following is a PBE calculation of crystalline Th3Zn4 at its relaxed geometry, from OQMD via LeMat-Bulk.

Cell lengths 9.0113, 9.0113, 4.6298 Å; angles 90.00, 90.00, 120.00 degrees
Positions (direct):
Th1 0.0892 0.4363 0.2500
Th2 0.3471 0.9108 0.2500
Th3 0.4363 0.3471 0.7500
Th4 0.5637 0.6529 0.2500
Th5 0.6529 0.0892 0.7500
Th6 0.9108 0.5637 0.7500
Zn1 0.0330 0.1929 0.7500
Zn2 0.1599 0.9670 0.7500
Zn3 0.1929 0.1599 0.2500
Zn4 0.3333 0.6667 0.7500
Zn5 0.6667 0.3333 0.2500
Zn6 0.8071 0.8401 0.7500
Zn7 0.8401 0.0330 0.2500
Zn8 0.9670 0.8071 0.2500

M_tot   0.00 μB per formula unit
Raw total energy   -55.57 eV per cell
Crystal system   hexagonal



The following is a PBE calculation of crystalline ThZn12 at its relaxed geometry, from OQMD via LeMat-Bulk.

Cell lengths 6.8255, 6.8255, 6.8255 Å; angles 98.44, 98.44, 134.94 degrees
Positions (direct):
Th1 0.0000 0.0000 0.0000
Zn1 0.0000 0.0000 0.5000
Zn2 0.0000 0.3559 0.3559
Zn3 0.0000 0.5000 0.0000
Zn4 0.0000 0.6441 0.6441
Zn5 0.2798 0.5000 0.7798
Zn6 0.3559 0.0000 0.3559
Zn7 0.5000 0.0000 0.0000
Zn8 0.5000 0.2798 0.7798
Zn9 0.5000 0.5000 0.5000
Zn10 0.5000 0.7202 0.2202
Zn11 0.6441 0.0000 0.6441
Zn12 0.7202 0.5000 0.2202

M_tot   0.00 μB per formula unit
Raw total energy   -24.68 eV per cell
Crystal system   tetragonal



The following is a PBE calculation of crystalline Th2Zn17 at its relaxed geometry, from OQMD via LeMat-Bulk.

Cell lengths 9.0230, 9.0230, 8.8391 Å; angles 90.00, 90.00, 120.00 degrees
Positions (direct):
Th1 0.0000 0.0000 0.2500
Th2 0.0000 0.0000 0.7500
Th3 0.3333 0.6667 0.2500
Th4 0.6667 0.3333 0.7500
Zn1 0.0000 0.5000 0.0000
Zn2 0.0000 0.5000 0.5000
Zn3 0.0432 0.3730 0.7500
Zn4 0.0432 0.6702 0.7500
Zn5 0.1621 0.3241 0.0227
Zn6 0.1621 0.3241 0.4773
Zn7 0.1621 0.8379 0.0227
Zn8 0.1621 0.8379 0.4773
Zn9 0.3241 0.1621 0.5227
Zn10 0.3241 0.1621 0.9773
Zn11 0.3298 0.3730 0.7500
Zn12 0.3298 0.9568 0.7500
Zn13 0.3333 0.6667 0.6033
Zn14 0.3333 0.6667 0.8967
Zn15 0.3730 0.0432 0.2500
Zn16 0.3730 0.3298 0.2500
Zn17 0.5000 0.0000 0.0000
Zn18 0.5000 0.0000 0.5000
Zn19 0.5000 0.5000 0.0000
Zn20 0.5000 0.5000 0.5000
Zn21 0.6270 0.6702 0.7500
Zn22 0.6270 0.9568 0.7500
Zn23 0.6667 0.3333 0.1033
Zn24 0.6667 0.3333 0.3967
Zn25 0.6702 0.0432 0.2500
Zn26 0.6702 0.6270 0.2500
Zn27 0.6759 0.8379 0.0227
Zn28 0.6759 0.8379 0.4773
Zn29 0.8379 0.1621 0.5227
Zn30 0.8379 0.1621 0.9773
Zn31 0.8379 0.6759 0.5227
Zn32 0.8379 0.6759 0.9773
Zn33 0.9568 0.3298 0.2500
Zn34 0.9568 0.6270 0.2500

M_tot   0.01 μB per formula unit
Raw total energy   -80.95 eV per cell
Crystal system   hexagonal



The following is a PBE calculation of crystalline ThZrZn at its relaxed geometry, from OQMD via LeMat-Bulk.

Cell lengths 4.9360, 4.9360, 4.9360 Å; angles 60.00, 60.00, 60.00 degrees
Positions (direct):
Th1 0.0000 0.0000 0.0000
Zr1 0.2500 0.2500 0.2500
Zn1 0.7500 0.7500 0.7500

M_tot   1.95 μB per formula unit
Raw total energy   -14.42 eV per cell
Crystal system   cubic